A relaxed structure of In2H5Os, computed with PBE.

- Crystal system: monoclinic
- VASP energy: -4.070 eV/atom

Unit cell a=5.129 b=5.129 c=5.286 alpha=61.01 beta=60.90 gamma=89.98
Sites, in units of the cell vectors:
In 0.724 0.222 0.554
H 0.778 0.168 0.054
In 0.225 0.723 0.554
H 0.777 0.778 0.056
H 0.301 0.301 0.398
H 0.166 0.167 0.056
H 0.165 0.777 0.057
Os 0.087 0.087 0.826


A relaxed structure of InH3Os, computed with PBE.

- Crystal system: cubic
- VASP energy: -4.410 eV/atom

Unit cell a=3.620 b=3.620 c=3.620 alpha=90.00 beta=90.00 gamma=90.00
Sites, in units of the cell vectors:
In 0.500 0.500 0.500
H 0.000 0.500 0.000
Os 0.000 0.000 0.000
H 0.000 0.000 0.500
H 0.500 0.000 0.000


A relaxed structure of In2H4Os, computed with PBE.

- Crystal system: monoclinic
- VASP energy: -4.247 eV/atom

Unit cell a=4.660 b=4.660 c=5.053 alpha=109.84 beta=121.21 gamma=94.02
Sites, in units of the cell vectors:
H 0.740 0.257 0.997
In 0.775 0.182 0.491
H 0.133 0.762 0.895
H 0.263 0.269 0.012
In 0.309 0.716 0.491
H 0.744 0.750 0.012
Os 0.037 0.064 0.101


A relaxed structure of ThInH6Os2, computed with PBE.

- Crystal system: monoclinic
- VASP energy: -5.351 eV/atom

Unit cell a=6.239 b=6.239 c=5.825 alpha=100.71 beta=100.71 gamma=103.92
Sites, in units of the cell vectors:
H 0.008 0.560 0.885
H 0.329 0.531 0.355
H 0.824 0.822 0.923
Th 0.846 0.154 0.750
In 0.639 0.361 0.250
H 0.531 0.329 0.855
H 0.176 0.178 0.077
Os 0.907 0.675 0.665
Os 0.675 0.907 0.165
Os 0.093 0.325 0.335
H 0.992 0.440 0.115
H 0.469 0.671 0.145
H 0.560 0.008 0.385
H 0.178 0.176 0.577
H 0.671 0.469 0.645
Os 0.325 0.093 0.835
H 0.440 0.992 0.615
Th 0.154 0.846 0.250
H 0.822 0.824 0.423
In 0.361 0.639 0.750


A relaxed structure of Zr2InHOs, computed with PBE.

- Crystal system: tetragonal
- VASP energy: -7.127 eV/atom

Unit cell a=4.527 b=4.527 c=3.928 alpha=90.00 beta=90.00 gamma=90.00
Sites, in units of the cell vectors:
In 0.500 0.500 0.500
Zr 0.000 0.500 0.000
Zr 0.500 0.000 0.000
H 0.000 0.000 0.000
Os 0.000 0.000 0.500


A relaxed structure of InP2H2, computed with PBE.

- ΔE to the lowest computed polymorph: 0.000 eV per atom
- Crystal system: tetragonal

Unit cell a=6.993 b=6.993 c=2.897 alpha=90.00 beta=90.00 gamma=90.00
Sites, in units of the cell vectors:
P 0.390 0.890 0.000
P 0.110 0.390 0.000
H 0.594 0.906 0.500
P 0.610 0.110 0.000
In 0.000 0.000 0.000
H 0.094 0.594 0.500
P 0.890 0.610 0.000
H 0.406 0.094 0.500
H 0.906 0.406 0.500
In 0.500 0.500 0.000


A relaxed structure of InP3H, computed with PBE.

- ΔE to the lowest computed polymorph: 0.000 eV per atom
- Crystal system: cubic

Unit cell a=4.198 b=4.198 c=4.198 alpha=90.00 beta=90.00 gamma=90.00
Sites, in units of the cell vectors:
P 0.000 0.500 0.000
In 0.500 0.500 0.500
P 0.000 0.000 0.500
H 0.000 0.000 0.000
P 0.500 0.000 0.000


A relaxed structure of InP2H2, computed with PBE.

- ΔE to the lowest computed polymorph: 0.003 eV per atom
- Crystal system: tetragonal

Unit cell a=3.820 b=3.820 c=5.079 alpha=67.91 beta=67.91 gamma=90.00
Sites, in units of the cell vectors:
H 0.250 0.750 0.500
P 0.631 0.631 0.739
H 0.750 0.250 0.500
P 0.369 0.369 0.261
In 0.000 0.000 0.000


A relaxed structure of InP3H, computed with PBE.

- ΔE to the lowest computed polymorph: 0.920 eV per atom
- Crystal system: cubic

Unit cell a=5.116 b=5.116 c=5.116 alpha=90.00 beta=90.00 gamma=90.00
Sites, in units of the cell vectors:
H 0.500 0.500 0.500
P 0.000 0.000 0.500
In 0.000 0.000 0.000
P 0.000 0.500 0.000
P 0.500 0.000 0.000


A relaxed structure of InPH2Pb, computed with PBE.

- Crystal system: tetragonal
- VASP energy: -3.230 eV/atom

Unit cell a=3.901 b=6.294 c=3.901 alpha=90.00 beta=90.00 gamma=90.00
Sites, in units of the cell vectors:
In 0.000 0.500 0.000
P 0.500 0.500 0.500
H 0.500 0.000 0.000
H 0.000 0.000 0.500
Pb 0.000 0.000 0.000


A relaxed structure of In2PHPt, computed with PBE.

- Crystal system: tetragonal
- VASP energy: -3.793 eV/atom

Unit cell a=5.281 b=3.048 c=5.281 alpha=90.00 beta=90.00 gamma=90.00
Sites, in units of the cell vectors:
Pt 0.500 0.500 0.500
In 0.000 0.000 0.500
P 0.000 0.500 0.000
H 0.000 0.000 0.000
In 0.500 0.000 0.000


A relaxed structure of InP2HS, computed with PBE.

- ΔE to the lowest computed polymorph: 1.004 eV per atom
- Crystal system: tetragonal

Unit cell a=5.147 b=5.147 c=5.120 alpha=90.00 beta=90.00 gamma=90.00
Sites, in units of the cell vectors:
S 0.000 0.000 0.500
H 0.500 0.500 0.500
In 0.000 0.000 0.000
P 0.000 0.500 0.000
P 0.500 0.000 0.000